This record from Alexandria via LeMat-Bulk describes an optimized crystal structure of TcNCl. The functional is PBE.

Cell and atoms, written as extended XYZ:
```
6
Lattice="3.124 0.000 0.000 0.000 4.216 0.000 -0.008 -0.224 8.385" Properties=species:S:1:pos:R:3 pbc="T T T"
Tc 0.781 0.772 0.652
Tc 2.334 3.220 7.734
N 0.781 2.983 0.562
N 2.334 1.009 7.824
Cl 0.772 3.049 5.820
Cl 2.343 0.943 2.565
```

=====

This record from Alexandria via LeMat-Bulk describes an optimized crystal structure of TcN2Cl6. The functional is PBE.

Cell and atoms, written as extended XYZ:
```
9
Lattice="6.706 0.000 0.000 -2.866 6.341 0.000 -0.092 -2.925 6.808" Properties=species:S:1:pos:R:3 pbc="T T T"
Tc 0.000 0.000 0.000
N 0.931 0.637 1.190
N 0.541 5.078 2.546
Cl -1.489 1.936 5.745
Cl 0.290 -1.501 5.021
Cl 0.097 3.590 3.183
Cl 3.892 -0.188 3.738
Cl 2.927 4.467 1.004
Cl 4.679 1.053 0.296
```

Computed properties:
For the energy above the most stable polymorph in this dataset, the calculation gives 0.000 eV per atom.

=====

This record from Alexandria via LeMat-Bulk describes an optimized crystal structure of Tc2NCl. The functional is PBE.

Cell and atoms, written as extended XYZ:
```
16
Lattice="5.739 0.000 0.000 0.000 5.739 0.000 0.000 0.000 5.739" Properties=species:S:1:pos:R:3 pbc="T T T"
Tc 1.435 1.435 1.435
Tc 1.435 1.435 4.305
Tc 1.435 4.305 1.435
Tc 1.435 4.305 4.305
Tc 4.305 1.435 1.435
Tc 4.305 1.435 4.305
Tc 4.305 4.305 1.435
Tc 4.305 4.305 4.305
N 0.000 0.000 0.000
N 0.000 2.870 2.870
N 2.870 0.000 2.870
N 2.870 2.870 0.000
Cl 0.000 0.000 2.870
Cl 0.000 2.870 0.000
Cl 2.870 0.000 0.000
Cl 2.870 2.870 2.870
```

Computed properties:
For the energy above the most stable polymorph in this dataset, the calculation gives 0.708 eV per atom.

=====

This record from Alexandria via LeMat-Bulk describes an optimized crystal structure of ZnTcNCl2. The functional is PBE.

Cell and atoms, written as extended XYZ:
```
5
Lattice="4.625 0.000 0.000 0.000 4.625 0.000 0.000 0.000 5.573" Properties=species:S:1:pos:R:3 pbc="T T T"
Zn 0.000 0.000 0.000
Tc 0.000 0.000 2.786
N 2.313 2.313 2.786
Cl 0.000 2.313 0.000
Cl 2.313 0.000 0.000
```

=====

This record from Alexandria via LeMat-Bulk describes an optimized crystal structure of TeNCl2. The functional is PBE.

Cell and atoms, written as extended XYZ:
```
16
Lattice="6.318 0.000 0.000 0.000 6.318 0.000 0.000 0.000 8.990" Properties=species:S:1:pos:R:3 pbc="T T T"
Te 0.000 1.580 3.371
Te 0.000 4.739 5.619
Te 3.159 1.580 1.124
Te 3.159 4.739 7.866
N 0.000 1.580 7.866
N 0.000 4.739 1.124
N 3.159 1.580 5.619
N 3.159 4.739 3.371
Cl 0.000 0.000 0.000
Cl 0.000 3.159 0.000
Cl 1.580 1.580 6.742
Cl 1.580 4.739 2.247
Cl 3.159 0.000 4.495
Cl 3.159 3.159 4.495
Cl 4.739 1.580 6.742
Cl 4.739 4.739 2.247
```

Computed properties:
For the energy above the most stable polymorph in this dataset, the calculation gives 0.540 eV per atom.

=====

This record from Alexandria via LeMat-Bulk describes an optimized crystal structure of TeN3Cl. The functional is PBE.

Cell and atoms, written as extended XYZ:
```
5
Lattice="3.842 0.000 0.000 0.000 3.842 0.000 0.000 0.000 3.842" Properties=species:S:1:pos:R:3 pbc="T T T"
Te 0.000 0.000 0.000
N 0.000 1.921 1.921
N 1.921 0.000 1.921
N 1.921 1.921 0.000
Cl 1.921 1.921 1.921
```

=====

This record from Alexandria via LeMat-Bulk describes an optimized crystal structure of TeNCl2. The functional is PBE.

Cell and atoms, written as extended XYZ:
```
16
Lattice="14.541 0.000 0.000 0.000 4.244 0.000 -0.103 0.000 7.846" Properties=species:S:1:pos:R:3 pbc="T T T"
Te 1.839 0.000 1.992
Te 5.329 2.122 5.854
Te 9.109 2.122 1.992
Te 12.599 0.000 5.854
N -0.033 0.000 5.885
N 7.201 2.122 1.961
N 7.237 2.122 5.885
N 14.471 0.000 1.961
Cl 1.930 2.122 3.702
Cl 1.984 2.122 0.291
Cl 5.184 0.000 7.555
Cl 5.237 0.000 4.144
Cl 9.201 0.000 3.702
Cl 9.254 0.000 0.291
Cl 12.454 2.122 7.555
Cl 12.508 2.122 4.144
```

Computed properties:
For the energy above the most stable polymorph in this dataset, the calculation gives 0.000 eV per atom.

=====

This record from Alexandria via LeMat-Bulk describes an optimized crystal structure of TeNCl3. The functional is PBE.

Cell and atoms, written as extended XYZ:
```
5
Lattice="4.547 0.000 0.000 0.000 4.547 0.000 0.000 0.000 4.547" Properties=species:S:1:pos:R:3 pbc="T T T"
Te 0.000 0.000 0.000
N 2.274 2.274 2.274
Cl 0.000 2.274 2.274
Cl 2.274 0.000 2.274
Cl 2.274 2.274 0.000
```

Computed properties:
For the energy above the most stable polymorph in this dataset, the calculation gives 0.348 eV per atom.

=====

This record from Alexandria via LeMat-Bulk describes an optimized crystal structure of Te2N2Cl. The functional is PBE.

Cell and atoms, written as extended XYZ:
```
5
Lattice="4.041 0.000 0.000 0.000 4.041 0.000 0.000 0.000 6.585" Properties=species:S:1:pos:R:3 pbc="T T T"
Te 0.000 0.000 0.000
Te 0.000 0.000 3.293
N 0.000 2.020 0.000
N 2.020 0.000 0.000
Cl 2.020 2.020 3.293
```

Computed properties:
For the energy above the most stable polymorph in this dataset, the calculation gives 0.762 eV per atom.

=====

This record from Alexandria via LeMat-Bulk describes an optimized crystal structure of TeN2Cl4. The functional is PBE.

Cell and atoms, written as extended XYZ:
```
7
Lattice="3.465 0.000 0.000 -0.486 6.743 0.000 -0.343 -3.020 7.209" Properties=species:S:1:pos:R:3 pbc="T T T"
Te 0.000 0.000 0.000
N 1.246 5.316 0.218
N 1.390 -1.593 6.991
Cl -0.003 0.568 2.357
Cl 1.248 4.370 1.607
Cl 1.388 -0.647 5.602
Cl 2.640 3.155 4.852
```

=====

This record from Alexandria via LeMat-Bulk describes an optimized crystal structure of Te2N2Cl. The functional is PBE.

Cell and atoms, written as extended XYZ:
```
5
Lattice="4.267 0.000 0.000 0.000 4.267 0.000 0.000 0.000 8.092" Properties=species:S:1:pos:R:3 pbc="T T T"
Te 0.000 0.000 0.000
Te 2.134 2.134 0.000
N 0.000 2.134 4.046
N 2.134 0.000 4.046
Cl 0.000 0.000 4.046
```

Computed properties:
For the energy above the most stable polymorph in this dataset, the calculation gives 1.447 eV per atom.

=====

This record from Alexandria via LeMat-Bulk describes an optimized crystal structure of TeN3Cl. The functional is PBE.

Cell and atoms, written as extended XYZ:
```
5
Lattice="4.115 0.000 0.000 0.000 4.115 0.000 0.000 0.000 4.115" Properties=species:S:1:pos:R:3 pbc="T T T"
Te 0.000 0.000 0.000
N 0.000 0.000 2.058
N 0.000 2.058 0.000
N 2.058 0.000 0.000
Cl 2.058 2.058 2.058
```

=====

Number 1: VASP energy -7.08 eV/atom, formation energy without anion corrections -0.24 eV/atom. Number 2: VASP energy -4.20 eV/atom, formation energy without anion corrections 0.03 eV/atom. Number 3: VASP energy -6.62 eV/atom, formation energy without anion corrections 1.11 eV/atom. Number 4: VASP energy -3.29 eV/atom, formation energy without anion corrections 1.44 eV/atom. Number 5: VASP energy -2.68 eV/atom, formation energy without anion corrections 1.11 eV/atom. Number 6: VASP energy -3.46 eV/atom, formation energy without anion corrections 2.53 eV/atom. Number 7: VASP energy -3.22 eV/atom, formation energy without anion corrections 0.57 eV/atom. Number 8: VASP energy -2.35 eV/atom, formation energy without anion corrections 1.05 eV/atom. Number 9: VASP energy -3.64 eV/atom, formation energy without anion corrections 1.32 eV/atom. Number 10: VASP energy -3.45 eV/atom, formation energy without anion corrections 0.43 eV/atom. Number 11: VASP energy -2.95 eV/atom, formation energy without anion corrections 2.00 eV/atom. Number 12: VASP energy -3.81 eV/atom, formation energy without anion corrections 2.18 eV/atom.